(1)
First-principles (PBE) data for a relaxed structure of CaSm4Pd4, as listed in the Alexandria database.

Cell and atoms, written as extended XYZ:
```
18
Lattice="5.833 0.000 0.000 0.000 9.231 0.000 0.000 0.000 9.231" Properties=species:S:1:pos:R:3 pbc="T T T"
Ca 0.000 0.000 0.000
Ca 2.917 4.615 4.615
Sm 2.427 2.984 8.355
Sm 5.344 5.492 7.599
Sm 2.427 6.247 0.876
Sm 0.489 1.632 5.492
Sm 3.406 8.355 6.247
Sm 0.489 7.599 3.739
Sm 5.344 3.739 1.632
Sm 3.406 0.876 2.984
Pd 3.423 7.283 3.465
Pd 3.423 1.948 5.766
Pd 0.506 8.081 6.564
Pd 5.327 2.667 8.081
Pd 5.327 6.564 1.150
Pd 2.410 3.465 1.948
Pd 2.410 5.766 7.283
Pd 0.506 1.150 2.667
```

DFT total energy: -5.25 eV per atom
symmetry: No. 86
magnetic moment: 0.00 μB per cell

---

(2)
First-principles (PBE) data for a relaxed structure of CaSm3Pd12, as listed in the Alexandria database.

Cell and atoms, written as extended XYZ:
```
16
Lattice="-2.699 2.085 -2.366 1.643 -1.729 -3.397 -10.853 -12.680 1.205" Properties=species:S:1:pos:R:3 pbc="T T T"
Ca 0.000 0.000 0.000
Sm -2.697 -3.152 0.299
Sm -5.427 -6.340 0.602
Sm -8.156 -9.528 0.905
Pd -0.528 0.178 -2.882
Pd -3.234 -2.984 -2.581
Pd -5.954 -6.162 -2.279
Pd -8.675 -9.340 -1.977
Pd -2.700 -0.536 -1.033
Pd -5.416 -3.709 -0.732
Pd -8.136 -6.886 -0.430
Pd -10.851 -10.059 -0.128
Pd -0.530 -2.443 -1.549
Pd -3.245 -5.616 -1.247
Pd -5.965 -8.793 -0.945
Pd -8.681 -11.966 -0.644
```

DFT total energy: -5.63 eV per atom
symmetry: No. 123
magnetic moment: 0.00 μB per cell

---

(3)
First-principles (PBE) data for a relaxed structure of Ca2SmPd5, as listed in the Alexandria database.

Cell and atoms, written as extended XYZ:
```
8
Lattice="-4.649 -2.068 -3.009 1.406 -2.897 4.957 -1.418 5.497 1.650" Properties=species:S:1:pos:R:3 pbc="T T T"
Ca -0.907 -0.079 3.846
Ca -3.933 0.334 -0.138
Sm -3.942 1.632 3.165
Pd -1.611 1.370 1.368
Pd -0.200 -2.827 3.017
Pd -4.643 3.083 0.687
Pd -3.229 -1.115 2.340
Pd -0.901 -1.378 0.540
```

DFT total energy: -4.98 eV per atom
symmetry: No. 107
magnetic moment: 0.00 μB per cell

---

(4)
First-principles (PBE) data for a relaxed structure of CaSm2Pd, as listed in the Alexandria database.

Cell and atoms, written as extended XYZ:
```
4
Lattice="-2.602 2.287 1.999 -1.591 -1.309 3.428 5.987 4.380 6.786" Properties=species:S:1:pos:R:3 pbc="T T T"
Ca 0.897 2.679 6.106
Pd 0.000 0.000 0.000
Sm -0.114 1.031 2.674
Sm 1.908 4.327 9.538
```

energy relative to the lowest polymorph listed for this composition: 131 meV/atom
symmetry: No. 166
magnetic moment: 0.00 μB per cell

---

(5)
First-principles (PBE) data for a relaxed structure of CaSm3Pd4, as listed in the Alexandria database.

Cell and atoms, written as extended XYZ:
```
8
Lattice="-1.392 -5.213 3.001 5.757 -0.367 -2.202 -0.418 4.783 3.881" Properties=species:S:1:pos:R:3 pbc="T T T"
Ca 0.000 0.000 0.000
Pd -0.209 2.391 1.940
Pd 1.974 -0.399 2.341
Pd -0.696 -2.606 1.500
Pd 2.878 -0.184 -1.101
Sm 2.669 2.208 0.840
Sm -0.905 -0.215 3.441
Sm 2.182 -2.790 0.400
```

DFT total energy: -5.39 eV per atom
symmetry: No. 229
magnetic moment: 0.00 μB per cell

---

(6)
First-principles (PBE) data for a relaxed structure of Ca3Sm3Pd4, as listed in the Alexandria database.

Cell and atoms, written as extended XYZ:
```
10
Lattice="-1.622 -3.597 -0.993 6.942 -2.277 -3.090 2.054 -2.886 7.098" Properties=species:S:1:pos:R:3 pbc="T T T"
Ca 5.493 -4.008 5.545
Ca 1.054 -1.460 3.568
Ca 2.035 -4.586 4.952
Sm 5.346 -4.173 -1.951
Sm 2.232 -3.543 0.852
Sm 5.148 -5.216 2.151
Pd 5.157 -2.499 0.630
Pd 3.892 -2.657 3.266
Pd 7.762 -4.475 3.533
Pd 1.175 -0.695 0.598
```

DFT total energy: -4.75 eV per atom
symmetry: No. 38
magnetic moment: 0.00 μB per cell